Entry from the Alexandria database: a relaxed KRuBr5 crystal (GGA-PBE). Values from VASP.

Calculated values
E_form (uncorrected): -0.62 eV/atom
total energy: -46.196 eV per cell
D(E_F): 4.83 states/eV/f.u.
M_tot: 2.0 μB per formula unit

```
&SYSTEM
  ibrav = 0, nat = 14, ntyp = 3
/
ATOMIC_SPECIES
K 39.10 K.upf
Ru 101.07 Ru.upf
Br 79.90 Br.upf
CELL_PARAMETERS angstrom
8.760 -1.015 1.520
-1.346 8.715 1.520
1.618 1.680 6.984
ATOMIC_POSITIONS angstrom
K 1.245 3.320 2.506
K 7.786 6.060 7.518
Ru 0.000 0.000 0.000
Ru 4.516 4.690 5.012
Br 0.414 8.838 3.310
Br 3.150 6.183 3.600
Br 4.572 6.454 6.802
Br 6.755 5.434 4.025
Br 7.217 0.294 2.931
Br 1.815 9.087 7.092
Br 2.276 3.946 5.998
Br 4.459 2.927 3.222
Br 5.882 3.198 6.423
Br 8.617 0.542 6.714
```